1.
TlZn: optimized geometry, GGA-PBE.

Cell and atoms, written as extended XYZ:
```
8
Lattice="11.082 0.000 0.000 0.000 3.351 0.000 0.000 0.000 5.090" Properties=species:S:1:pos:R:3 pbc="T T T"
Tl 2.208 1.675 0.000
Zn 10.753 0.000 0.000
Zn 8.755 1.675 0.000
Tl 7.950 0.000 2.545
Tl 4.269 1.675 2.545
Zn 10.487 1.675 2.545
Zn 1.403 0.000 2.545
Tl 5.890 0.000 0.000
```

Values from the calculation:
* V: 189 Å³/cell
* VASP energy: -3.36 eV/f.u.

***

2.
TlZn: optimized geometry, GGA-PBE.

Cell and atoms, written as extended XYZ:
```
12
Lattice="-4.744 -2.397 2.628 6.318 -4.969 6.874 -0.248 3.568 2.806" Properties=species:S:1:pos:R:3 pbc="T T T"
Tl -0.722 -2.310 6.555
Zn 1.142 -0.862 4.878
Tl -3.807 -1.416 5.146
Tl 3.150 -2.291 6.873
Zn 2.401 -5.305 6.957
Tl -2.456 0.585 2.722
Tl 5.680 -4.743 6.531
Zn 2.051 -1.966 2.681
Zn 1.055 -3.856 8.678
Zn -0.276 -5.223 6.615
Tl -1.109 -2.468 3.040
Zn 1.596 -3.631 4.757
```

Values from the calculation:
* V: 285 Å³/cell
* VASP energy: -3.41 eV/f.u.

***

3.
TlZn: optimized geometry, GGA-PBE.

Cell and atoms, written as extended XYZ:
```
4
Lattice="5.230 0.000 0.000 0.000 3.409 0.000 0.000 0.000 5.412" Properties=species:S:1:pos:R:3 pbc="T T T"
Zn 0.086 0.000 0.000
Zn 4.273 1.705 2.706
Tl 2.819 1.705 0.000
Tl 1.539 0.000 2.706
```

Values from the calculation:
* V: 96 Å³/cell
* VASP energy: -3.21 eV/f.u.

***

4.
TlZn: optimized geometry, GGA-PBE.

Cell and atoms, written as extended XYZ:
```
10
Lattice="0.725 -3.456 -3.962 8.917 2.464 -4.125 2.065 -2.781 2.803" Properties=species:S:1:pos:R:3 pbc="T T T"
Zn 6.984 -2.774 -4.356
Zn 1.482 -2.694 -3.765
Tl 4.502 -2.093 -1.852
Tl 5.580 0.379 -3.736
Zn 1.879 -3.439 -1.255
Zn 2.470 -1.244 0.487
Tl 8.737 -0.008 -2.904
Zn 1.170 -0.942 -1.797
Tl 7.720 -0.481 -6.164
Tl 4.171 -2.230 -5.285
```

Values from the calculation:
* V: 231 Å³/cell
* VASP energy: -3.41 eV/f.u.

***

5.
TlZn: optimized geometry, GGA-PBE.

Cell and atoms, written as extended XYZ:
```
8
Lattice="5.653 0.000 0.000 0.000 7.443 0.000 0.000 0.000 4.491" Properties=species:S:1:pos:R:3 pbc="T T T"
Zn 2.592 5.189 0.000
Zn 2.592 2.254 0.000
Zn 1.960 3.722 2.245
Tl 2.173 0.000 2.245
Tl 5.386 0.000 0.000
Tl 4.713 2.148 2.245
Zn 0.370 3.722 0.000
Tl 4.713 5.296 2.245
```

Values from the calculation:
* V: 189 Å³/cell
* VASP energy: -3.30 eV/f.u.

***

6.
TlZn: optimized geometry, GGA-PBE.

Cell and atoms, written as extended XYZ:
```
16
Lattice="-1.292 -10.716 2.578 0.037 -1.531 -6.344 5.211 -0.587 0.172" Properties=species:S:1:pos:R:3 pbc="T T T"
Tl -0.594 -5.850 -1.949
Zn 2.359 -3.260 -2.556
Zn -0.307 -3.980 -4.265
Zn -0.328 -3.129 -0.737
Zn 1.812 -7.799 -1.464
Tl 1.423 -10.563 0.883
Tl -0.952 -8.356 0.328
Tl 1.812 -6.875 1.670
Tl -0.933 -9.119 -2.836
Zn 2.108 -5.754 -3.447
Zn -0.596 -4.943 1.189
Tl -0.049 -1.328 -3.037
Zn -0.049 -0.405 0.097
Zn 2.091 -5.074 -0.630
Tl 1.441 -11.331 -2.297
Tl 2.357 -2.354 0.582
```

Values from the calculation:
* V: 380 Å³/cell
* VASP energy: -3.30 eV/f.u.

***

7.
TlZn: optimized geometry, GGA-PBE.

Cell and atoms, written as extended XYZ:
```
2
Lattice="0.079 2.300 2.487 -2.971 -1.190 -1.113 0.197 -3.589 3.313" Properties=species:S:1:pos:R:3 pbc="T T T"
Tl 0.000 0.000 0.000
Zn -0.839 -0.658 2.943
```

Values from the calculation:
* V: 49 Å³/cell
* VASP energy: -3.20 eV/f.u.

***

8.
TlZn2: optimized geometry, GGA-PBE.

Cell and atoms, written as extended XYZ:
```
12
Lattice="-12.018 7.351 -1.777 -1.673 -2.810 -0.311 -0.835 -0.088 5.285" Properties=species:S:1:pos:R:3 pbc="T T T"
Zn -2.700 -0.265 -0.431
Tl -1.790 0.795 2.440
Zn -0.078 0.048 -0.012
Zn -7.872 4.815 -1.164
Zn -12.526 5.446 0.820
Zn -5.681 3.175 1.864
Zn -4.732 0.678 1.973
Tl -10.815 4.698 -1.631
Tl -8.636 3.066 1.396
Zn -9.905 5.759 1.240
Tl -3.969 2.428 -0.587
Zn -6.924 2.318 -1.056
```

Values from the calculation:
* V: 250 Å³/cell
* VASP energy: -4.26 eV/f.u.

***

9.
TlZn3: optimized geometry, GGA-PBE.

Cell and atoms, written as extended XYZ:
```
16
Lattice="-1.372 -0.322 -10.028 -4.150 -1.037 0.601 -1.819 7.292 0.015" Properties=species:S:1:pos:R:3 pbc="T T T"
Zn -5.176 4.547 -4.610
Tl -3.617 -0.230 -2.085
Zn -4.556 -0.495 -9.024
Zn -3.385 3.701 -9.225
Zn -3.301 6.278 -4.206
Zn -3.957 2.233 -0.187
Tl -4.899 1.998 -7.094
Zn -4.487 2.139 -4.005
Zn -2.166 1.387 -4.802
Zn -4.480 4.672 0.404
Zn -2.861 1.262 -9.817
Tl -2.443 3.936 -2.318
Tl -3.725 6.164 -7.327
Zn -4.041 -0.344 -5.207
Zn -2.855 3.795 -5.407
Zn -2.786 6.429 -0.388
```

Values from the calculation:
* V: 329 Å³/cell
* VASP energy: -5.69 eV/f.u.

***

10.
Zr2TlZn: optimized geometry, GGA-PBE.

Cell and atoms, written as extended XYZ:
```
4
Lattice="0.000 3.535 3.535 3.535 0.000 3.535 3.535 3.535 0.000" Properties=species:S:1:pos:R:3 pbc="T T T"
Zr 0.000 0.000 0.000
Zn 1.767 1.767 1.767
Tl 3.535 3.535 3.535
Zr 5.302 5.302 5.302
```

Values from the calculation:
* V: 88 Å³/cell
* VASP energy: -19.34 eV/f.u.

***

11.
ZrTl2Zn: optimized geometry, GGA-PBE.

Cell and atoms, written as extended XYZ:
```
4
Lattice="-2.397 -4.067 -1.953 -4.145 0.636 -2.919 0.239 -0.941 -5.016" Properties=species:S:1:pos:R:3 pbc="T T T"
Zn -3.152 -2.186 -4.944
Tl 0.000 0.000 0.000
Tl -4.727 -3.279 -7.416
Zr -1.576 -1.093 -2.472
```

Values from the calculation:
* V: 94 Å³/cell
* VASP energy: -13.13 eV/f.u.

***

12.
ZrTl: optimized geometry, GGA-PBE.

Cell and atoms, written as extended XYZ:
```
12
Lattice="-7.719 2.186 1.399 1.754 -2.834 5.782 1.680 4.764 1.825" Properties=species:S:1:pos:R:3 pbc="T T T"
Zr -4.669 0.970 1.765
Tl -6.566 0.708 4.195
Zr -2.073 1.093 6.961
Tl -4.825 2.269 6.423
Tl -0.177 1.354 4.531
Zr -2.998 2.566 3.964
Tl -1.917 -0.206 2.302
Zr -5.836 -0.674 7.131
Tl -5.798 3.751 3.449
Zr -3.745 -0.504 4.762
Zr -0.906 2.737 1.595
Tl -0.944 -1.688 5.277
```

Values from the calculation:
* V: 285 Å³/cell
* VASP energy: -10.76 eV/f.u.

***

What is the V in the tenth record?
88 Å³/cell

***

Which value of V does entry 2 give?
285 Å³/cell

***

Which value of VASP energy does entry 4 give?
-3.41 eV/f.u.

***

What is the VASP energy in the fifth record?
-3.30 eV/f.u.